1.
Here is ReOs2Ru after structural relaxation from Alexandria via LeMat-Bulk. Energies are from PBEsol.

Cell: 3.820 3.820 3.824 Å, 90.00 90.00 90.00°
Atoms (fractional coordinates):
Re: 0.000 0.000 0.000
Os: 0.000 0.500 0.500
Os: 0.500 0.000 0.500
Ru: 0.500 0.500 0.000

=====

2.
Here is ReOs2Ru after structural relaxation from Alexandria via LeMat-Bulk. Energies are from PBEsol.

Cell: 2.731 4.316 4.728 Å, 90.00 90.00 90.00°
Atoms (fractional coordinates):
Re: 0.000 0.000 0.000
Os: 0.000 0.500 0.332
Os: 0.500 0.000 0.498
Ru: 0.500 0.500 0.834

=====

3.
Here is ReOs2Ru after structural relaxation from Alexandria via LeMat-Bulk. Energies are from PBEsol.

Cell: 8.975 8.975 8.975 Å, 17.32 17.32 17.32°
Atoms (fractional coordinates):
Re: 0.000 0.000 0.000
Os: 0.249 0.249 0.249
Os: 0.751 0.751 0.751
Ru: 0.500 0.500 0.500

=====

What should be chosen as the least stable of them? Choose 3.